A plane-wave DFT calculation with PBE was carried out for a relaxed RbTa2Ag crystal.

```
RbTa2Ag
1.0
-1.337 -0.664 3.773
-3.368 -1.700 -1.493
2.863 -11.540 1.166
Ta Ag Rb
4 2 2
direct
0.375 0.903 0.750 Ta
0.653 0.625 0.250 Ta
0.875 0.347 0.750 Ta
0.097 0.125 0.250 Ta
0.000 0.000 0.000 Ag
0.750 0.250 0.500 Ag
0.250 0.750 0.500 Rb
0.500 0.500 0.000 Rb
```

Properties
Symmetry: I-42d
ΔE to the lowest computed polymorph (meV per atom): 0
ΔH_f (0 K) (meV/atom): 1486
DOS at the Fermi energy (states/eV/atom): 0.831



A plane-wave DFT calculation with PBE was carried out for a relaxed CeNd12In6 crystal.

```
CeNd12In6
1.0
-2.769 7.897 0.759
-4.315 -2.134 6.887
6.633 1.906 4.793
Nd Ce In
12 1 6
direct
0.565 0.193 0.468 Nd
0.193 0.468 0.565 Nd
0.468 0.565 0.193 Nd
0.380 0.072 0.120 Nd
0.072 0.120 0.380 Nd
0.532 0.435 0.807 Nd
0.620 0.928 0.880 Nd
0.120 0.380 0.072 Nd
0.928 0.880 0.620 Nd
0.807 0.532 0.435 Nd
0.435 0.807 0.532 Nd
0.880 0.620 0.928 Nd
0.000 0.000 0.000 Ce
0.275 0.122 0.741 In
0.122 0.741 0.275 In
0.878 0.259 0.725 In
0.741 0.275 0.122 In
0.259 0.725 0.878 In
0.725 0.878 0.259 In
```

Properties
Symmetry: R-3
ΔH_f (0 K) (meV/atom): -222
DOS at the Fermi energy (states/eV/atom): 1.246



A plane-wave DFT calculation with PBE was carried out for a relaxed CsReAg2Sb crystal.

```
CsReAg2Sb
1.0
-0.204 4.955 -1.904
-3.461 2.212 6.127
4.687 1.063 2.263
Ag Cs Sb Re
2 1 1 1
direct
0.500 0.000 0.000 Ag
0.000 0.000 0.500 Ag
0.000 0.500 0.000 Cs
0.000 0.000 0.000 Sb
0.500 0.500 0.500 Re
```

Properties
E_form (uncorrected) (eV per atom): 1.4756
Symmetry: P4/mmm
DOS at the Fermi energy (states/eV/atom): 0.436